(1)
HfMgZnGa: relaxed, PBE-GGA.

Cell: 3.8910 4.2017 4.3437 Å, 90.00 90.00 90.00°
Closest atoms and distances in Å follow each position.
Fractional positions:
1 Mg 0.0000 0.0000 0.0000  4 Zn 2.86, 4 Ga 2.92, 4 Hf 3.02
2 Hf 0.0000 0.5000 0.5000  4 Ga 2.86, 4 Zn 2.92, 4 Mg 3.02
3 Ga 0.5000 0.0000 0.5000  4 Hf 2.86, 4 Mg 2.92, 4 Zn 3.02
4 Zn 0.5000 0.5000 0.0000  4 Mg 2.86, 4 Hf 2.92, 4 Ga 3.02

final energy	-16.94	eV/cell
crystal system	orthorhombic
energy of formation	-0.273	eV/atom
calculated density	7.9	g/cm³


(2)
SiAg2I: relaxed, PBE-GGA.

Cell: 6.8148 6.8148 6.8071 Å, 59.96 59.96 90.00°
Closest atoms and distances in Å follow each position.
Fractional positions:
1 Si 0.5000 0.5000 0.0000  4 Ag 2.48
2 Ag 0.5722 0.1250 0.2500  2 Si 2.48
3 Ag 0.3750 0.4278 0.7500  2 Si 2.48
4 Ag 0.1778 0.6250 0.2500  2 Si 2.48
5 I 0.7500 0.2500 0.5000  4 Ag 2.93
6 Si 0.2500 0.7500 0.5000  4 Ag 2.48
7 Ag 0.8750 0.8222 0.7500  2 Si 2.48
8 I 0.0000 0.0000 0.0000  4 Ag 2.93

final energy	-22.61	eV/cell
crystal system	tetragonal
calculated density	5.5	g/cm³
ΔE_f (raw)	33.1	kJ/mol of atoms
relative energy among the computed polymorphs	0	meV/atom


(3)
CaNd4Te5: relaxed, PBE-GGA.

Cell: 6.3624 7.7899 7.7899 Å, 80.40 65.90 65.90°
Closest atoms and distances in Å follow each position.
Fractional positions:
1 Nd 0.8040 0.7948 0.5992  6 Te 3.17-3.21
2 Nd 0.4032 0.4008 0.7948  6 Te 3.17-3.21
3 Nd 0.5988 0.5992 0.2052  6 Te 3.17-3.21
4 Te 0.5012 0.0000 0.0000  2 Ca 3.18, 4 Nd 3.20
5 Nd 0.1980 0.2052 0.4008  6 Te 3.17-3.21
6 Ca 0.0012 0.0000 0.0000  6 Te 3.12-3.18
7 Te 0.9017 0.3935 0.8050  1 Ca 3.12, 5 Nd 3.17-3.21
8 Te 0.1003 0.6065 0.1950  1 Ca 3.12, 5 Nd 3.17-3.21
9 Te 0.2952 0.8050 0.6065  1 Ca 3.12, 5 Nd 3.17-3.21
10 Te 0.7067 0.1950 0.3935  1 Ca 3.12, 5 Nd 3.17-3.21

final energy	-51.35	eV/cell
crystal system	tetragonal
calculated density	6.5	g/cm³
ΔE_f (raw)	-140.6	kJ/mol of atoms
relative energy among the computed polymorphs	7	meV/atom


(4)
RbBa2SrF: relaxed, PBE-GGA.

Cell: 5.8613 5.8613 6.9607 Å, 90.00 90.00 90.00°
Closest atoms and distances in Å follow each position.
Fractional positions:
1 F 0.0000 0.0000 0.0000  4 Ba 2.93
2 Sr 0.5000 0.5000 0.5000  4 Rb 4.14, 8 Ba 4.55
3 Ba 0.5000 0.0000 0.0000  2 F 2.93
4 Ba 0.0000 0.5000 0.0000  2 F 2.93
5 Rb 0.0000 0.0000 0.5000  2 F 3.48

final energy	-13.07	eV/cell
crystal system	tetragonal
calculated density	3.2	g/cm³
ΔE_f (raw)	-90.8	kJ/mol of atoms


(5)
AlTlOs2: relaxed, PBE-GGA.

Cell: 3.2111 4.4656 4.4656 Å, 90.00 90.00 90.00°
Closest atoms and distances in Å follow each position.
Fractional positions:
1 Os 0.0000 0.5000 0.5000  4 Tl 2.75, 4 Al 2.75
2 Os 0.0000 0.0000 0.0000  4 Tl 2.75, 4 Al 2.75
3 Al 0.5000 0.0000 0.5000  8 Os 2.75
4 Tl 0.5000 0.5000 0.0000  8 Os 2.75

final energy	-26.15	eV/cell
crystal system	tetragonal
energy of formation	0.605	eV/atom
calculated density	15.9	g/cm³
relative energy among the computed polymorphs	378	meV/atom


(6)
NbFe2Si: relaxed, PBE-GGA.

Cell: 3.2238 3.9517 3.9517 Å, 90.00 90.00 90.00°
Closest atoms and distances in Å follow each position.
Fractional positions:
1 Fe 0.0000 0.0000 0.5000  4 Nb 2.55, 4 Si 2.55, 4 Fe 2.79
2 Nb 0.5000 0.5000 0.5000  8 Fe 2.55, 4 Si 2.79
3 Si 0.5000 0.0000 0.0000  8 Fe 2.55, 4 Nb 2.79
4 Fe 0.0000 0.5000 0.0000  4 Nb 2.55, 4 Si 2.55, 4 Fe 2.79

final energy	-33.52	eV/cell
crystal system	tetragonal
calculated density	7.7	g/cm³
ΔE_f (raw)	-26.6	kJ/mol of atoms


Question: Which value of calculated density does entry 3 give?
Answer: 6.5 g/cm³